Computed, not measured: a geometry-optimized CeCo2RhO8 structure at the PBE with a Hubbard U level of DFT.

CIF file:
```
data_CeCo2RhO8
_cell_length_a 4.954
_cell_length_b 4.954
_cell_length_c 11.776
_cell_angle_alpha 90.00
_cell_angle_beta 90.00
_cell_angle_gamma 90.00
_symmetry_space_group_name_H-M 'I -4'
_symmetry_Int_Tables_number 82
loop_
_symmetry_equiv_pos_as_xyz
'x,y,z'
'y,-x,-z'
'-x,-y,z'
'-y,x,-z'
'x+1/2,y+1/2,z+1/2'
'y+1/2,-x+1/2,-z+1/2'
'-x+1/2,-y+1/2,z+1/2'
'-y+1/2,x+1/2,-z+1/2'
loop_
_atom_site_label
_atom_site_type_symbol
_atom_site_fract_x
_atom_site_fract_y
_atom_site_fract_z
Ce1 Ce 0.000 0.000 0.000
Co1 Co 0.000 0.000 0.500
Co2 Co 0.000 0.500 0.750
Rh1 Rh 0.000 0.500 0.250
O1 O 0.201 0.768 0.579
O2 O 0.202 0.213 0.187
```

## Properties
total DFT energy (no corrections) = -6.3416 eV per atom